Entry 1:
First-principles (GGA-PBEsol) data for a relaxed structure of AlSbI2, as listed in the Alexandria database.

POSCAR file:
```
AlSbI2
1.0
5.407 0.000 0.000
2.703 4.682 0.000
2.703 1.561 4.415
I Sb Al
2 1 1
Cartesian
2.703 1.561 1.104
8.110 4.682 3.311
5.407 3.122 2.207
0.000 0.000 0.000
```

Output
Theoretical density: 5981 kg/m3
M_tot: 0.0000 μB/atom
VASP energy: -2.750 eV per atom
D(E_F): 3.0 states/eV/f.u.
ΔE_f (raw): 295.4 meV/atom
V: 111.8 Å³/cell



Entry 2:
First-principles (GGA-PBEsol) data for a relaxed structure of AlSbI6, as listed in the Alexandria database.

POSCAR file:
```
AlSbI6
1.0
-4.472 -4.897 3.072
4.191 -9.298 -0.735
2.886 -1.570 9.684
Al I Sb
2 12 2
Cartesian
4.023 -10.453 8.258
-1.418 -5.312 3.763
-1.163 -10.013 4.552
4.204 -8.339 3.982
3.768 -5.752 7.469
-1.600 -7.426 8.039
1.038 -8.875 1.167
2.454 -12.144 3.770
1.567 -6.890 10.854
0.150 -3.621 8.251
1.698 -14.087 10.663
0.907 -1.678 1.358
1.973 -9.468 7.270
0.631 -6.297 4.751
3.936 -7.788 1.302
3.141 -3.081 7.647
```

Output
Theoretical density: 4451 kg/m3
M_tot: 0.0000 μB/atom
VASP energy: -2.849 eV per atom
D(E_F): 0.0 states/eV/f.u.
ΔE_f (raw): -442.9 meV/atom
V: 679.2 Å³/cell



Entry 3:
First-principles (GGA-PBEsol) data for a relaxed structure of ScAlSb2I, as listed in the Alexandria database.

POSCAR file:
```
ScAlSb2I
1.0
-2.038 4.676 0.959
-2.364 -0.083 -4.619
-4.312 -2.340 2.249
I Sb Sc Al
1 2 1 1
Cartesian
-2.156 -1.170 1.124
-1.182 -0.041 -2.310
-1.019 2.338 0.479
-4.357 1.126 -0.706
0.000 0.000 0.000
```

Output
Theoretical density: 5053 kg/m3
M_tot: 0.0001 μB/atom
VASP energy: -4.033 eV per atom
D(E_F): 3.5 states/eV/f.u.
ΔE_f (raw): 282.8 meV/atom
V: 145.4 Å³/cell



Entry 4:
First-principles (GGA-PBEsol) data for a relaxed structure of AlSbTeI2, as listed in the Alexandria database.

POSCAR file:
```
AlSbTeI2
1.0
-4.820 -1.636 2.610
1.886 -5.602 -0.029
2.564 0.836 5.260
I Sb Te Al
2 1 1 1
Cartesian
1.282 0.418 2.630
0.943 -2.801 -0.015
0.000 0.000 0.000
-2.410 -0.818 1.305
-0.185 -3.201 3.920
```

Output
Theoretical density: 4404 kg/m3
M_tot: 0.0000 μB/atom
VASP energy: -2.877 eV per atom
D(E_F): 0.9 states/eV/f.u.
ΔE_f (raw): 264.4 meV/atom
V: 199.9 Å³/cell